No. 1
VASP calculation (PBE) on a geometry-optimized Ac2Pm5PrNd structure.

Properties
* ΔE_f: 116 kJ/mol of formula units
* density of states at the Fermi level: 1.4338 states/eV per atom

Cell lengths 10.7532, 10.7532, 11.0734 Å; angles 90.00, 90.00, 148.20 degrees
With the nearest neighbours (Å) after each atom.
Sites, in units of the cell vectors:
1 Ac 0.1128 0.8872 0.5000  7 Pm 3.55-3.81, 1 Nd 3.66, 2 Pr 3.93
2 Ac 0.1192 0.8808 0.0944  8 Pm 3.42-3.70
3 Ac 0.8808 0.1192 0.5944  8 Pm 3.42-3.70
4 Ac 0.8872 0.1128 0.0000  7 Pm 3.55-3.81, 1 Nd 3.66, 2 Pr 3.93
5 Pm 0.0200 0.9800 0.7970  2 Pr 3.33, 2 Ac 3.55-3.65
6 Pm 0.2843 0.7157 0.0769  1 Pr 3.17, 1 Ac 3.42
7 Pm 0.2963 0.7037 0.4718  3 Pm 3.58-3.80, 1 Pr 3.61, 3 Nd 3.65-3.83, 3 Ac 3.68-3.81
8 Pm 0.3964 0.6036 0.7943  5 Pm 3.52-3.90, 4 Ac 3.70-3.73, 1 Nd 3.87
9 Pm 0.4789 0.5211 0.5104  2 Pr 3.30-3.38, 2 Pm 3.52-3.58
10 Pm 0.5211 0.4789 0.0104  2 Pr 3.30-3.38, 2 Pm 3.52-3.58
11 Pm 0.6036 0.3964 0.2943  5 Pm 3.52-3.90, 4 Ac 3.70-3.73, 1 Nd 3.87
12 Pm 0.7037 0.2963 0.9718  3 Pm 3.58-3.80, 1 Pr 3.61, 3 Nd 3.65-3.83, 3 Ac 3.68-3.81
13 Pm 0.7157 0.2843 0.5769  1 Pr 3.17, 1 Ac 3.42
14 Pm 0.9800 0.0200 0.2970  2 Pr 3.33, 2 Ac 3.55-3.65
15 Pr 0.4134 0.5866 0.2304  5 Pm 3.17-3.38
16 Pr 0.5866 0.4134 0.7304  5 Pm 3.17-3.38
17 Nd 0.2095 0.7905 0.7770  8 Pm 3.65-3.93, 2 Ac 3.66-3.98, 2 Pr 3.93
18 Nd 0.7905 0.2095 0.2770  8 Pm 3.65-3.93, 2 Ac 3.66-3.98, 2 Pr 3.93


No. 2
VASP calculation (PBE) on a geometry-optimized Ac2PmPr2Nd structure.

Properties
* ΔE_f: 37 kJ/mol of formula units
* density of states at the Fermi level: 1.4859 states/eV per atom

Cell lengths 7.4164, 6.0137, 10.3252 Å; angles 90.00, 90.00, 90.00 degrees
With the nearest neighbours (Å) after each atom.
Sites, in units of the cell vectors:
1 Ac 0.0000 0.0000 0.0000  6 Ac 3.71-3.95, 2 Pm 3.92, 6 Pr 3.97-4.00
2 Ac 0.2500 0.5000 0.1715  5 Pr 3.49-3.71, 2 Nd 3.87
3 Ac 0.5000 0.0000 0.0000  6 Ac 3.71-3.95, 2 Pm 3.92, 6 Pr 3.97-4.00
4 Ac 0.7500 0.5000 0.8285  5 Pr 3.49-3.71, 2 Nd 3.87
5 Pm 0.2500 0.0000 0.6653  5 Pr 3.32-3.71
6 Pm 0.7500 0.0000 0.3347  5 Pr 3.32-3.71
7 Pr 0.2500 0.0000 0.3435  3 Pm 3.32-3.71, 2 Ac 3.49
8 Pr 0.2500 0.5000 0.8250  2 Pm 3.43, 3 Ac 3.58-3.71, 2 Nd 3.83
9 Pr 0.7500 0.0000 0.6565  3 Pm 3.32-3.71, 2 Ac 3.49
10 Pr 0.7500 0.5000 0.1750  2 Pm 3.43, 3 Ac 3.58-3.71, 2 Nd 3.83
11 Nd 0.0000 0.5000 0.5000  2 Nd 3.71, 6 Pr 3.83-3.88, 2 Ac 3.87, 4 Pm 3.92
12 Nd 0.5000 0.5000 0.5000  2 Nd 3.71, 6 Pr 3.83-3.88, 2 Ac 3.87, 4 Pm 3.92


No. 3
VASP calculation (PBE) on a geometry-optimized AcPmPrNd3 structure.

Properties
* ΔE_f: 104 kJ/mol of formula units
* density of states at the Fermi level: 1.3938 states/eV per atom

Cell lengths 10.8905, 10.8905, 7.1900 Å; angles 90.89, 90.89, 31.56 degrees
With the nearest neighbours (Å) after each atom.
Sites, in units of the cell vectors:
1 Ac 0.1479 0.1479 0.0380  1 Pm 3.25, 4 Nd 3.41-3.64
2 Ac 0.8521 0.8521 0.9620  1 Pm 3.25, 4 Nd 3.41-3.64
3 Pm 0.1438 0.1438 0.4899  4 Nd 3.24-3.51, 1 Ac 3.25
4 Pm 0.8562 0.8562 0.5101  4 Nd 3.24-3.51, 1 Ac 3.25
5 Pr 0.4451 0.4451 0.7246  3 Nd 3.33-3.44
6 Pr 0.5549 0.5549 0.2754  3 Nd 3.33-3.44
7 Nd 0.0180 0.0180 0.7465  1 Pm 3.24, 2 Pr 3.33, 1 Ac 3.41, 1 Nd 3.61
8 Nd 0.2811 0.2811 0.7308  3 Pm 3.33-3.72, 1 Pr 3.44, 3 Ac 3.59-3.70, 1 Nd 3.66
9 Nd 0.3383 0.3383 0.2530  2 Pm 3.51, 2 Ac 3.64, 4 Nd 3.66-3.92
10 Nd 0.6617 0.6617 0.7470  2 Pm 3.51, 2 Ac 3.64, 4 Nd 3.66-3.92
11 Nd 0.7189 0.7189 0.2692  3 Pm 3.33-3.72, 1 Pr 3.44, 3 Ac 3.59-3.70, 1 Nd 3.66
12 Nd 0.9820 0.9820 0.2535  1 Pm 3.24, 2 Pr 3.33, 1 Ac 3.41, 1 Nd 3.61


No. 4
VASP calculation (PBE) on a geometry-optimized Ac2PmPrNd4 structure.

Properties
* ΔE_f: 26 kJ/mol of formula units
* density of states at the Fermi level: 1.6987 states/eV per atom

Cell lengths 6.5408, 3.7827, 12.3752 Å; angles 90.00, 100.37, 90.00 degrees
With the nearest neighbours (Å) after each atom.
Sites, in units of the cell vectors:
1 Ac 0.0000 0.0000 0.0000  6 Ac 3.78, 6 Nd 3.80-3.81
2 Ac 0.5000 0.5000 0.0000  6 Ac 3.78, 6 Nd 3.81
3 Pm 0.0000 0.5000 0.5000  6 Nd 3.68-3.69, 4 Pr 3.78, 2 Pm 3.78
4 Pr 0.5000 0.0000 0.5000  6 Nd 3.68-3.69, 4 Pm 3.78, 2 Pr 3.78
5 Nd 0.2469 0.0000 0.7435  2 Pm 3.68, 1 Pr 3.69, 6 Nd 3.77-3.78, 3 Ac 3.81
6 Nd 0.2519 0.5000 0.2560  2 Pr 3.68, 1 Pm 3.69, 6 Nd 3.77-3.78, 3 Ac 3.80-3.81
7 Nd 0.7481 0.5000 0.7440  2 Pr 3.68, 1 Pm 3.69, 6 Nd 3.77-3.78, 3 Ac 3.80-3.81
8 Nd 0.7531 0.0000 0.2565  2 Pm 3.68, 1 Pr 3.69, 6 Nd 3.77-3.78, 3 Ac 3.81


No. 5
VASP calculation (PBE) on a geometry-optimized AcPm2PrNd5 structure.

Properties
* ΔE_f: 223 kJ/mol of formula units
* density of states at the Fermi level: 1.4006 states/eV per atom

Cell lengths 10.1770, 10.1770, 10.1770 Å; angles 126.29, 126.29, 79.41 degrees
With the nearest neighbours (Å) after each atom.
Sites, in units of the cell vectors:
1 Ac 0.2500 0.7500 0.5000  4 Nd 3.31
2 Ac 0.7500 0.2500 0.5000  4 Nd 3.31
3 Pm 0.1128 0.6128 0.7256  1 Pm 2.93, 2 Nd 3.08
4 Pm 0.3872 0.1128 0.5000  1 Pm 2.93, 2 Nd 3.08
5 Pm 0.6128 0.8872 0.5000  1 Pm 2.93, 2 Nd 3.08
6 Pm 0.8872 0.3872 0.2744  1 Pm 2.93, 2 Nd 3.08
7 Pr 0.2500 0.2500 0.0000  10 Nd 3.79-3.91
8 Pr 0.7500 0.7500 0.0000  10 Nd 3.79-3.91
9 Nd 0.0000 0.0000 0.0000  4 Pm 3.71, 8 Nd 3.88, 2 Pr 3.91
10 Nd 0.0791 0.1596 0.5000  1 Pm 3.08, 1 Ac 3.31
11 Nd 0.1596 0.6596 0.0806  1 Pm 3.08, 1 Ac 3.31
12 Nd 0.3404 0.4209 0.5000  1 Pm 3.08, 1 Ac 3.31
13 Nd 0.4209 0.9209 0.0806  1 Pm 3.08, 1 Ac 3.31
14 Nd 0.5000 0.5000 0.0000  4 Pm 3.71, 8 Nd 3.88, 2 Pr 3.91
15 Nd 0.5791 0.0791 0.9194  1 Pm 3.08, 1 Ac 3.31
16 Nd 0.6596 0.5791 0.5000  1 Pm 3.08, 1 Ac 3.31
17 Nd 0.8404 0.3404 0.9194  1 Pm 3.08, 1 Ac 3.31
18 Nd 0.9209 0.8404 0.5000  1 Pm 3.08, 1 Ac 3.31


No. 6
VASP calculation (PBE) on a geometry-optimized AcPm4PrNd2 structure.

Properties
* ΔE_f: 288 kJ/mol of formula units
* density of states at the Fermi level: 2.1316 states/eV per atom

Cell lengths 9.7635, 9.7635, 7.1087 Å; angles 111.28, 111.28, 87.84 degrees
With the nearest neighbours (Å) after each atom.
Sites, in units of the cell vectors:
1 Ac 0.0000 0.5000 0.0000  6 Pm 3.53-3.57, 2 Nd 3.55
2 Ac 0.5000 0.0000 0.5000  6 Pm 3.53-3.57, 2 Nd 3.55
3 Pm 0.2408 0.2569 0.4295  2 Nd 3.29-3.31, 1 Pr 3.31, 1 Ac 3.53, 2 Pm 3.56
4 Pm 0.2490 0.7509 0.5133  2 Pm 3.36-3.74, 3 Nd 3.38-3.47, 1 Pr 3.40, 2 Ac 3.57
5 Pm 0.2491 0.7510 0.9867  2 Pm 3.36-3.74, 3 Nd 3.38-3.47, 1 Pr 3.40, 2 Ac 3.57
6 Pm 0.2569 0.2408 0.9295  2 Nd 3.29-3.31, 1 Pr 3.31, 1 Ac 3.53, 2 Pm 3.56
7 Pm 0.7431 0.7592 0.0705  2 Nd 3.29-3.31, 1 Pr 3.31, 1 Ac 3.53, 2 Pm 3.56
8 Pm 0.7509 0.2490 0.0133  2 Pm 3.36-3.74, 3 Nd 3.38-3.47, 1 Pr 3.40, 2 Ac 3.57
9 Pm 0.7510 0.2491 0.4867  2 Pm 3.36-3.74, 3 Nd 3.38-3.47, 1 Pr 3.40, 2 Ac 3.57
10 Pm 0.7592 0.7431 0.5705  2 Nd 3.29-3.31, 1 Pr 3.31, 1 Ac 3.53, 2 Pm 3.56
11 Pr 0.5000 0.5000 0.0000  4 Pm 3.31-3.40, 2 Pr 3.55
12 Pr 0.5000 0.5000 0.5000  4 Pm 3.31-3.40, 2 Pr 3.55
13 Nd 0.0000 0.0000 0.0000  4 Pm 3.29-3.38, 2 Nd 3.55
14 Nd 0.0000 0.0000 0.5000  4 Pm 3.29-3.38, 2 Nd 3.55
15 Nd 0.0000 0.5000 0.5000  6 Pm 3.31-3.47, 2 Ac 3.55
16 Nd 0.5000 0.0000 0.0000  6 Pm 3.31-3.47, 2 Ac 3.55


No. 7
VASP calculation (PBE) on a geometry-optimized Ac5PmPrNd2 structure.

Properties
* ΔE_f: 231 kJ/mol of formula units
* density of states at the Fermi level: 1.6064 states/eV per atom

Cell lengths 11.9859, 11.9859, 11.9859 Å; angles 138.35, 138.35, 60.37 degrees
With the nearest neighbours (Å) after each atom.
Sites, in units of the cell vectors:
1 Ac 0.0000 0.0000 0.0000  4 Nd 3.39
2 Ac 0.0810 0.5810 0.9318  1 Nd 3.41, 1 Pr 3.53
3 Ac 0.1493 0.0810 0.5000  1 Nd 3.41, 1 Pr 3.53
4 Ac 0.3507 0.8507 0.9318  1 Nd 3.41, 1 Pr 3.53
5 Ac 0.4190 0.3507 0.5000  1 Nd 3.41, 1 Pr 3.53
6 Ac 0.5000 0.5000 0.0000  4 Nd 3.39
7 Ac 0.5810 0.6493 0.5000  1 Nd 3.41, 1 Pr 3.53
8 Ac 0.6493 0.1493 0.0682  1 Nd 3.41, 1 Pr 3.53
9 Ac 0.8507 0.9190 0.5000  1 Nd 3.41, 1 Pr 3.53
10 Ac 0.9190 0.4190 0.0682  1 Nd 3.41, 1 Pr 3.53
11 Pm 0.2500 0.2500 0.0000  8 Ac 3.87, 4 Pr 4.26
12 Pm 0.7500 0.7500 0.0000  8 Ac 3.87, 4 Pr 4.26
13 Pr 0.2500 0.7500 0.5000  4 Ac 3.53
14 Pr 0.7500 0.2500 0.5000  4 Ac 3.53
15 Nd 0.1216 0.3784 0.5000  1 Nd 2.93
16 Nd 0.3784 0.8784 0.2567  1 Nd 2.93
17 Nd 0.6216 0.1216 0.7433  1 Nd 2.93
18 Nd 0.8784 0.6216 0.5000  1 Nd 2.93


No. 8
VASP calculation (PBE) on a geometry-optimized AcPmPrNd2 structure.

Properties
* ΔE_f: 20 kJ/mol of formula units
* density of states at the Fermi level: 1.6809 states/eV per atom

Cell lengths 6.5660, 6.0483, 9.9908 Å; angles 90.00, 109.05, 90.00 degrees
With the nearest neighbours (Å) after each atom.
Sites, in units of the cell vectors:
1 Ac 0.0646 0.2500 0.2991  3 Pm 3.75, 5 Nd 3.75-3.83, 4 Pr 3.76-3.79
2 Ac 0.9354 0.7500 0.7009  3 Pm 3.75, 5 Nd 3.75-3.83, 4 Pr 3.76-3.79
3 Pm 0.1378 0.7500 0.0977  6 Nd 3.70-3.84, 2 Pm 3.73, 3 Ac 3.75, 1 Pr 3.82
4 Pm 0.8622 0.2500 0.9023  6 Nd 3.70-3.84, 2 Pm 3.73, 3 Ac 3.75, 1 Pr 3.82
5 Pr 0.3385 0.7500 0.5018  2 Pr 3.70, 5 Nd 3.74-3.88, 4 Ac 3.76-3.79, 1 Pm 3.82
6 Pr 0.6615 0.2500 0.4982  2 Pr 3.70, 5 Nd 3.74-3.88, 4 Ac 3.76-3.79, 1 Pm 3.82
7 Nd 0.2743 0.2500 0.7046  3 Nd 3.69-3.73, 2 Pm 3.72-3.84, 4 Pr 3.74-3.88, 3 Ac 3.75-3.83
8 Nd 0.4615 0.2500 0.0950  5 Nd 3.69-3.73, 4 Pm 3.70-3.77, 2 Ac 3.80-3.82, 1 Pr 3.81
9 Nd 0.5385 0.7500 0.9050  5 Nd 3.69-3.73, 4 Pm 3.70-3.77, 2 Ac 3.80-3.82, 1 Pr 3.81
10 Nd 0.7257 0.7500 0.2954  3 Nd 3.69-3.73, 2 Pm 3.72-3.84, 4 Pr 3.74-3.88, 3 Ac 3.75-3.83


No. 9
VASP calculation (PBE) on a geometry-optimized AcPm3PrNd structure.

Properties
* ΔE_f: 15 kJ/mol of formula units
* density of states at the Fermi level: 1.6156 states/eV per atom

Cell lengths 8.3231, 5.2693, 10.5200 Å; angles 90.00, 108.53, 90.00 degrees
With the nearest neighbours (Å) after each atom.
Sites, in units of the cell vectors:
1 Ac 0.1652 0.2500 0.2913  8 Pm 3.70-3.74, 3 Nd 3.73-3.74, 1 Pr 3.77
2 Ac 0.8348 0.7500 0.7087  8 Pm 3.70-3.74, 3 Nd 3.73-3.74, 1 Pr 3.77
3 Pm 0.1693 0.7500 0.0397  3 Pr 3.66-3.73, 3 Ac 3.70-3.74, 5 Pm 3.70-3.78, 1 Nd 3.71
4 Pm 0.1685 0.7500 0.5451  1 Pr 3.68, 5 Pm 3.70-3.77, 3 Nd 3.70-3.76, 3 Ac 3.70-3.74
5 Pm 0.1703 0.2500 0.7925  1 Nd 3.67, 3 Pr 3.68-3.71, 6 Pm 3.70-3.78, 2 Ac 3.73
6 Pm 0.8297 0.7500 0.2075  1 Nd 3.67, 3 Pr 3.68-3.71, 6 Pm 3.70-3.78, 2 Ac 3.73
7 Pm 0.8315 0.2500 0.4549  1 Pr 3.68, 5 Pm 3.70-3.77, 3 Nd 3.70-3.76, 3 Ac 3.70-3.74
8 Pm 0.8307 0.2500 0.9603  3 Pr 3.66-3.73, 3 Ac 3.70-3.74, 5 Pm 3.70-3.78, 1 Nd 3.71
9 Pr 0.4962 0.7500 0.8757  7 Pm 3.66-3.73, 2 Pr 3.70, 2 Nd 3.72, 1 Ac 3.77
10 Pr 0.5038 0.2500 0.1243  7 Pm 3.66-3.73, 2 Pr 3.70, 2 Nd 3.72, 1 Ac 3.77
11 Nd 0.4981 0.2500 0.6269  5 Pm 3.67-3.76, 2 Pr 3.72, 3 Ac 3.73-3.74, 2 Nd 3.76
12 Nd 0.5019 0.7500 0.3731  5 Pm 3.67-3.76, 2 Pr 3.72, 3 Ac 3.73-3.74, 2 Nd 3.76


No. 10
VASP calculation (PBE) on a geometry-optimized Ac2Pm4PrNd2 structure.

Properties
* ΔE_f: 23 kJ/mol of formula units
* density of states at the Fermi level: 1.3483 states/eV per atom

Cell lengths 9.9458, 9.9458, 10.0498 Å; angles 115.22, 115.22, 21.93 degrees
With the nearest neighbours (Å) after each atom.
Sites, in units of the cell vectors:
1 Ac 0.1467 0.1467 0.1650  7 Pm 3.72-3.81, 3 Nd 3.72-3.78, 2 Ac 3.78
2 Ac 0.8533 0.8533 0.8350  7 Pm 3.72-3.81, 3 Nd 3.72-3.78, 2 Ac 3.78
3 Pm 0.1833 0.1833 0.8313  2 Nd 3.67, 1 Pr 3.68, 6 Pm 3.71-3.78, 3 Ac 3.72-3.81
4 Pm 0.4817 0.4817 0.1763  2 Pr 3.64, 1 Nd 3.68, 5 Pm 3.71-3.91, 4 Ac 3.76-3.78
5 Pm 0.5183 0.5183 0.8237  2 Pr 3.64, 1 Nd 3.68, 5 Pm 3.71-3.91, 4 Ac 3.76-3.78
6 Pm 0.8167 0.8167 0.1687  2 Nd 3.67, 1 Pr 3.68, 6 Pm 3.71-3.78, 3 Ac 3.72-3.81
7 Pr 0.0000 0.0000 0.5000  6 Pm 3.64-3.68, 4 Nd 3.73, 2 Pr 3.78
8 Nd 0.3341 0.3341 0.4951  3 Pm 3.67-3.68, 3 Ac 3.72-3.78, 2 Pr 3.73, 4 Nd 3.78-3.83
9 Nd 0.6659 0.6659 0.5049  3 Pm 3.67-3.68, 3 Ac 3.72-3.78, 2 Pr 3.73, 4 Nd 3.78-3.83


No. 11
VASP calculation (PBE) on a geometry-optimized Ac4PmPr2Nd structure.

Properties
* ΔE_f: 18 kJ/mol of formula units
* density of states at the Fermi level: 1.5101 states/eV per atom

Cell lengths 5.4769, 5.5199, 10.5550 Å; angles 90.00, 90.10, 90.00 degrees
With the nearest neighbours (Å) after each atom.
Sites, in units of the cell vectors:
1 Ac 0.9999 0.0000 0.2494  2 Pm 3.79-3.80, 4 Pr 3.80-3.81, 2 Nd 3.82, 4 Ac 3.89
2 Ac 0.0001 0.0000 0.7506  2 Pm 3.79-3.80, 4 Pr 3.80-3.81, 2 Nd 3.82, 4 Ac 3.89
3 Ac 0.5001 0.5000 0.2496  4 Pr 3.80-3.82, 2 Nd 3.80-3.81, 2 Pm 3.82, 4 Ac 3.89
4 Ac 0.4999 0.5000 0.7504  4 Pr 3.80-3.82, 2 Nd 3.80-3.81, 2 Pm 3.82, 4 Ac 3.89
5 Pm 0.5000 0.0000 0.0000  8 Ac 3.79-3.82, 4 Pr 3.89
6 Pr 0.0000 0.5000 0.0000  8 Ac 3.80-3.81, 4 Pm 3.89
7 Pr 0.5000 0.0000 0.5000  8 Ac 3.80-3.82, 4 Nd 3.89
8 Nd 0.0000 0.5000 0.5000  8 Ac 3.80-3.82, 4 Pr 3.89


No. 12
VASP calculation (PBE) on a geometry-optimized AcPm2PrNd6 structure.

Properties
* ΔE_f: 110 kJ/mol of formula units
* density of states at the Fermi level: 1.5036 states/eV per atom

Cell lengths 9.1691, 9.1691, 9.9627 Å; angles 93.35, 93.35, 118.47 degrees
With the nearest neighbours (Å) after each atom.
Sites, in units of the cell vectors:
1 Ac 0.0253 0.9747 0.7500  4 Pm 3.53-3.58, 4 Nd 3.79-3.90
2 Ac 0.9747 0.0253 0.2500  4 Pm 3.53-3.58, 4 Nd 3.79-3.90
3 Pm 0.1933 0.3067 0.5446  6 Nd 3.39-3.63, 2 Ac 3.53-3.58, 1 Pr 3.76
4 Pm 0.3067 0.1933 0.0446  6 Nd 3.39-3.63, 2 Ac 3.53-3.58, 1 Pr 3.76
5 Pm 0.6933 0.8067 0.9554  6 Nd 3.39-3.63, 2 Ac 3.53-3.58, 1 Pr 3.76
6 Pm 0.8067 0.6933 0.4554  6 Nd 3.39-3.63, 2 Ac 3.53-3.58, 1 Pr 3.76
7 Pr 0.4075 0.5925 0.2500  6 Nd 3.54-3.69, 2 Pm 3.76
8 Pr 0.5925 0.4075 0.7500  6 Nd 3.54-3.69, 2 Pm 3.76
9 Nd 0.0225 0.5618 0.6825  4 Nd 3.35-3.74, 2 Pm 3.54-3.63, 1 Pr 3.62
10 Nd 0.1224 0.7463 0.0550  6 Nd 3.51-3.85, 1 Pm 3.62, 1 Ac 3.90
11 Nd 0.2537 0.8776 0.4450  6 Nd 3.51-3.85, 1 Pm 3.62, 1 Ac 3.90
12 Nd 0.2932 0.5021 0.8813  4 Nd 3.35-3.70, 3 Pm 3.39-3.56, 2 Pr 3.54-3.69
13 Nd 0.4382 0.9775 0.8175  4 Nd 3.35-3.74, 2 Pm 3.54-3.63, 1 Pr 3.62
14 Nd 0.4979 0.7068 0.6187  4 Nd 3.35-3.70, 3 Pm 3.39-3.56, 2 Pr 3.54-3.69
15 Nd 0.5021 0.2932 0.3813  4 Nd 3.35-3.70, 3 Pm 3.39-3.56, 2 Pr 3.54-3.69
16 Nd 0.5618 0.0225 0.1825  4 Nd 3.35-3.74, 2 Pm 3.54-3.63, 1 Pr 3.62
17 Nd 0.7068 0.4979 0.1187  4 Nd 3.35-3.70, 3 Pm 3.39-3.56, 2 Pr 3.54-3.69
18 Nd 0.7463 0.1224 0.5550  6 Nd 3.51-3.85, 1 Pm 3.62, 1 Ac 3.90
19 Nd 0.8776 0.2537 0.9450  6 Nd 3.51-3.85, 1 Pm 3.62, 1 Ac 3.90
20 Nd 0.9775 0.4382 0.3175  4 Nd 3.35-3.74, 2 Pm 3.54-3.63, 1 Pr 3.62